Here is a geometry-optimized Ca3ZrAs structure from Alexandria. Energies are from PBE.

```
Ca3ZrAs
1.0
-0.316 -3.317 -4.489
-2.308 -4.016 3.130
-5.082 2.030 -1.142
Zr Ca As
1 3 1
Cartesian
0.000 0.000 0.000
-0.158 -1.658 -2.245
-2.541 1.015 -0.571
-1.154 -2.008 1.565
-3.853 -2.651 -1.251
```

Output
Energy relative to the lowest polymorph listed for this composition (kcal/mol of atoms): 20.73



Here is a geometry-optimized Ca2ZrAs structure from Alexandria. Energies are from PBE.

```
Ca2ZrAs
1.0
-2.748 -8.212 2.291
2.277 -8.656 0.359
1.127 8.805 1.197
Ca Zr As
2 1 1
Cartesian
-0.194 -6.960 1.093
-0.041 -1.474 0.232
-0.928 -3.920 2.407
1.584 -4.142 1.441
```



Total energy, respectively: -14.5 -18.8 eV/f.u..
Magnetic moment, respectively: 0.88 0.00 μB per cell.